Record 1
A geometry-optimized Mn structure, computed with GGA-PBEsol.

Geometry as extended XYZ:
```
20
Lattice="5.9395 0.0000 0.0000 0.0000 5.9395 0.0000 0.0000 0.0000 5.9395" Properties=species:S:1:pos:R:3 pbc="T T T"
Mn 4.1373 1.8021 4.7718
Mn 3.2836 2.2273 1.1710
Mn 1.1676 1.1676 1.1676
Mn 1.1710 3.2836 2.2273
Mn 2.6525 0.3173 5.6222
Mn 5.6256 3.7122 4.1407
Mn 1.8021 4.7718 4.1373
Mn 5.6222 2.6525 0.3173
Mn 4.7718 4.1373 1.8021
Mn 3.7122 4.1407 5.6256
Mn 2.6558 5.1970 1.7988
Mn 4.7685 0.3139 0.7424
Mn 0.3173 5.6222 2.6525
Mn 0.7424 4.7685 0.3139
Mn 3.2870 3.2870 3.2870
Mn 1.7988 2.6558 5.1970
Mn 4.1407 5.6256 3.7122
Mn 0.3139 0.7424 4.7685
Mn 5.1970 1.7988 2.6558
Mn 2.2273 1.1710 3.2836
```

Summary:
**Formation enthalpy at 0 K**: 0.06 eV per formula unit
**Theoretical density**: 8.7 g/cm³
**Offset from the most stable computed form**: 60 meV/atom
**E**: -9.701 eV/atom
**Density of states at the Fermi level**: 1.61 states/eV/f.u.
**Space group**: P4_132



Record 2
A geometry-optimized Mn structure, computed with GGA-PBEsol.

Geometry as extended XYZ:
```
8
Lattice="4.3630 0.0000 0.0000 0.0000 4.3630 0.0000 0.0000 0.0000 4.3630" Properties=species:S:1:pos:R:3 pbc="T T T"
Mn 2.1815 1.0908 0.0000
Mn 3.2723 0.0000 2.1815
Mn 0.0000 2.1815 1.0908
Mn 0.0000 0.0000 0.0000
Mn 0.0000 2.1815 3.2723
Mn 2.1815 3.2723 0.0000
Mn 2.1815 2.1815 2.1815
Mn 1.0908 0.0000 2.1815
```

Summary:
**Formation enthalpy at 0 K**: 0.06 eV per formula unit
**Theoretical density**: 8.8 g/cm³
**Offset from the most stable computed form**: 61 meV/atom
**E**: -9.700 eV/atom
**Density of states at the Fermi level**: 1.76 states/eV/f.u.
**Space group**: Pm-3n



Record 3
A geometry-optimized Mn structure, computed with GGA-PBEsol.

Geometry as extended XYZ:
```
29
Lattice="7.3454 0.0000 0.0000 -2.4485 6.9253 0.0000 -2.4485 -3.4626 5.9975" Properties=species:S:1:pos:R:3 pbc="T T T"
Mn 0.1770 0.2503 4.2770
Mn 4.3846 4.3534 0.0000
Mn -1.0653 -1.5065 4.9309
Mn 2.6429 5.5849 0.0000
Mn -3.5137 3.4082 3.7702
Mn 2.6254 -0.3665 4.0757
Mn 3.6762 2.2191 0.0000
Mn 0.0000 0.0000 0.0000
Mn 1.3832 -0.0544 2.2273
Mn 5.0914 0.6702 1.1608
Mn -2.2715 3.0961 1.9218
Mn -2.2715 0.1162 3.6422
Mn -1.2207 2.3531 4.0757
Mn -3.5137 1.5609 4.8367
Mn 2.6808 0.0000 0.0000
Mn 0.8668 -2.1028 3.6422
Mn 3.6762 -1.1095 1.9218
Mn -0.5124 1.2859 2.2273
Mn 0.1770 3.5789 2.3552
Mn -0.8936 2.5274 0.0000
Mn 3.3152 1.3598 2.3552
Mn 1.3832 1.9561 1.0665
Mn -0.8936 -1.2637 2.1888
Mn 1.5549 2.1989 3.8086
Mn 4.3846 -2.1767 3.7702
Mn 2.6254 3.7129 1.7205
Mn -1.0653 5.0236 1.1608
Mn 0.8668 4.2057 0.0000
Mn 2.6429 -2.7925 4.8367
```

Summary:
**Formation enthalpy at 0 K**: 0.00 eV per formula unit
**Theoretical density**: 8.7 g/cm³
**Offset from the most stable computed form**: 0 meV/atom
**E**: -9.761 eV/atom
**Density of states at the Fermi level**: 1.16 states/eV/f.u.
**Space group**: I-43m



Record 4
A geometry-optimized Mn structure, computed with GGA-PBEsol.

Geometry as extended XYZ:
```
3
Lattice="2.4504 0.0000 0.0000 1.2252 2.1221 0.0000 1.2252 0.7074 5.9457" Properties=species:S:1:pos:R:3 pbc="T T T"
Mn 1.2252 0.7074 1.9827
Mn 0.0000 0.0000 0.0000
Mn 3.6756 2.1221 3.9629
```

Summary:
**Formation enthalpy at 0 K**: 0.06 eV per formula unit
**Theoretical density**: 8.9 g/cm³
**Offset from the most stable computed form**: 60 meV/atom
**E**: -9.701 eV/atom
**Density of states at the Fermi level**: 1.38 states/eV/f.u.
**Space group**: R-3m



Record 5
A geometry-optimized Mn structure, computed with GGA-PBEsol.

Geometry as extended XYZ:
```
1
Lattice="-0.7711 -1.7245 1.5513 2.2295 0.9677 0.2604 -0.9828 2.2369 0.0746" Properties=species:S:1:pos:R:3 pbc="T T T"
Mn 0.6234 1.6023 0.1675
```

Summary:
**Formation enthalpy at 0 K**: 0.09 eV per formula unit
**Theoretical density**: 8.8 g/cm³
**Offset from the most stable computed form**: 88 meV/atom
**E**: -9.674 eV/atom
**Density of states at the Fermi level**: 1.38 states/eV/f.u.
**Space group**: Fm-3m



Record 6
A geometry-optimized Mn structure, computed with GGA-PBEsol.

Geometry as extended XYZ:
```
2
Lattice="-2.5403 1.5458 -1.7603 -3.1700 -1.3755 -0.0251 -2.5747 1.5618 1.6951" Properties=species:S:1:pos:R:3 pbc="T T T"
Mn 0.0000 0.0000 0.0000
Mn -2.0712 0.4330 -0.0226
```

Summary:
**Formation enthalpy at 0 K**: 1.53 eV per formula unit
**Theoretical density**: 6.3 g/cm³
**Offset from the most stable computed form**: 1532 meV/atom
**E**: -8.229 eV/atom
**Density of states at the Fermi level**: 0.86 states/eV/f.u.
**Space group**: Fd-3m